Crystalline CrIN2F at its relaxed geometry, computed with PBE+U.

Summary:
The calculation puts the density of states at the Fermi level at 2.0 states/eV/cell. Its raw total energy is -18.31 eV for the cell shown. Its energy above the lowest structure with this stoichiometry is 136.45 kJ/mol of atoms.

Unit cell a=4.695 b=4.695 c=4.314 alpha=90.00 beta=90.00 gamma=90.00
Sites, in units of the cell vectors:
1 N 0.500 0.000 0.000
2 N 0.000 0.500 0.000
3 F 0.000 0.000 0.000
4 Cr 0.500 0.500 0.500
5 I 0.000 0.000 0.500